1.
Computed, not measured: LaAgO3 after structural relaxation at the PBE level of DFT.

Unit cell a=4.4439 b=4.4439 c=4.4891 alpha=90.00 beta=90.00 gamma=90.00
Last column: nearest neighbours and their distance in Å.
Positions (direct):
Ag 0.0000 0.0000 0.8189  4 O 2.27
La 0.5000 0.5000 0.5591  6 O 2.12-2.37
O 0.5000 0.5000 0.0862  2 La 2.12-2.37
O 0.5000 0.0000 0.7179  2 Ag 2.27, 2 La 2.33
O 0.0000 0.5000 0.7179  2 Ag 2.27, 2 La 2.33

Computed properties:
Magnetization: 0.040 μB per cell
Uncorrected energy: -5.79 eV per atom
Mass density: 5.5 Mg/m³

---

2.
Computed, not measured: Li2Sc2Al2PtAu after structural relaxation at the PBE level of DFT.

Unit cell a=4.5172 b=4.5172 c=6.4002 alpha=90.00 beta=90.00 gamma=90.00
Last column: nearest neighbours and their distance in Å.
Positions (direct):
Al 0.5000 0.0000 0.2580  4 Li 2.74-2.80, 2 Pt 2.74, 2 Au 2.80
Al 0.0000 0.5000 0.7420  4 Li 2.74-2.80, 2 Pt 2.74, 2 Au 2.80
Au 0.5000 0.5000 0.0000  4 Sc 2.79, 4 Al 2.80
Li 0.0000 0.0000 0.0000  4 Sc 2.79, 4 Al 2.80
Li 0.5000 0.5000 0.5000  4 Al 2.74, 4 Sc 2.74
Pt 0.0000 0.0000 0.5000  4 Al 2.74, 4 Sc 2.74
Sc 0.0000 0.5000 0.2564  4 Li 2.74-2.79, 2 Pt 2.74, 2 Au 2.79
Sc 0.5000 0.0000 0.7436  4 Li 2.74-2.79, 2 Pt 2.74, 2 Au 2.79

Computed properties:
Magnetization: 0.001 μB per cell
Uncorrected energy: -4.93 eV per atom
Mass density: 7.0 Mg/m³

---

3.
Computed, not measured: PrNdSi2 after structural relaxation at the PBE level of DFT.

Unit cell a=8.4203 b=8.4203 c=4.5005 alpha=90.00 beta=90.00 gamma=138.57
Last column: nearest neighbours and their distance in Å.
Positions (direct):
Nd 0.3270 0.6730 0.2500  7 Si 3.01-3.19
Nd 0.6730 0.3270 0.7500  7 Si 3.01-3.19
Pr 0.0810 0.9190 0.2500  4 Si 2.91-3.09
Pr 0.9190 0.0810 0.7500  4 Si 2.91-3.09
Si 0.8016 0.1984 0.2500  2 Pr 2.91, 4 Nd 3.01-3.03
Si 0.5296 0.4704 0.2500  2 Si 2.44
Si 0.4704 0.5296 0.7500  2 Si 2.44
Si 0.1984 0.8016 0.7500  2 Pr 2.91, 4 Nd 3.01-3.03

Computed properties:
Magnetization: 0.001 μB per cell
Uncorrected energy: -5.53 eV per atom
Mass density: 5.4 Mg/m³
Polymorph energy (0 for the lowest one): 321 meV/atom

---

4.
Computed, not measured: MgScNiB after structural relaxation at the PBE level of DFT.

Unit cell a=4.1812 b=4.1812 c=4.1812 alpha=60.00 beta=60.00 gamma=60.00
Last column: nearest neighbours and their distance in Å.
Positions (direct):
B 0.2500 0.2500 0.2500  4 Ni 2.56, 4 Sc 2.56
Mg 0.7500 0.7500 0.7500  4 Sc 2.56, 4 Ni 2.56
Ni 0.5000 0.5000 0.5000  4 B 2.56, 4 Mg 2.56
Sc 0.0000 0.0000 0.0000  4 Mg 2.56, 4 B 2.56

Computed properties:
Magnetization: 0.003 μB per cell
Uncorrected energy: -4.91 eV per atom
Mass density: 4.5 Mg/m³
Polymorph energy (0 for the lowest one): 132 meV/atom

---

5.
Computed, not measured: CsPaCl6 after structural relaxation at the PBE level of DFT.

Unit cell a=7.7761 b=7.7761 c=7.7761 alpha=54.96 beta=54.96 gamma=54.96
Last column: nearest neighbours and their distance in Å.
Positions (direct):
Cl 0.5913 0.0916 0.0916  1 Pa 2.55
Cl 0.0916 0.5913 0.0916  1 Pa 2.55
Cl 0.9084 0.9084 0.4087  1 Pa 2.55
Cl 0.0916 0.0916 0.5913  1 Pa 2.55
Cl 0.9084 0.4087 0.9084  1 Pa 2.55
Cl 0.4087 0.9084 0.9084  1 Pa 2.55
Cs 0.5000 0.5000 0.5000  12 Cl 4.02
Pa 0.0000 0.0000 0.0000  6 Cl 2.55

Computed properties:
Magnetization: 0.006 μB per cell
Uncorrected energy: -4.63 eV per atom
Mass density: 3.3 Mg/m³

---

6.
Computed, not measured: TeMoOs2 after structural relaxation at the PBE level of DFT.

Unit cell a=4.5212 b=4.5212 c=4.5212 alpha=60.00 beta=60.00 gamma=60.00
Last column: nearest neighbours and their distance in Å.
Positions (direct):
Mo 0.0000 0.0000 0.0000  4 Os 2.77, 4 Te 2.77
Os 0.5000 0.5000 0.5000  4 Te 2.77, 4 Os 2.77
Os 0.7500 0.7500 0.7500  4 Os 2.77, 4 Mo 2.77
Te 0.2500 0.2500 0.2500  4 Os 2.77, 4 Mo 2.77

Computed properties:
Magnetization: 0.017 μB per cell
Uncorrected energy: -8.39 eV per atom
Mass density: 15.3 Mg/m³

---

7.
Computed, not measured: Li4Sn2HgPd after structural relaxation at the PBE level of DFT.

Unit cell a=4.5778 b=4.5778 c=6.6690 alpha=90.00 beta=90.00 gamma=90.00
Last column: nearest neighbours and their distance in Å.
Positions (direct):
Hg 0.0000 0.0000 0.0000  8 Li 2.90-3.24, 4 Sn 2.93
Li 0.5000 0.5000 0.0000  4 Li 2.90, 4 Sn 2.93, 4 Hg 3.24
Li 0.5000 0.0000 0.2665  4 Li 2.77-2.90, 2 Pd 2.77, 2 Hg 2.90, 1 Sn 3.07
Li 0.0000 0.0000 0.5000  4 Sn 2.74, 4 Li 2.77
Li 0.0000 0.5000 0.7335  4 Li 2.77-2.90, 2 Pd 2.77, 2 Hg 2.90, 1 Sn 3.07
Pd 0.5000 0.5000 0.5000  4 Sn 2.74, 4 Li 2.77
Sn 0.0000 0.5000 0.2734  5 Li 2.74-3.07, 2 Pd 2.74, 2 Hg 2.93
Sn 0.5000 0.0000 0.7266  5 Li 2.74-3.07, 2 Pd 2.74, 2 Hg 2.93

Computed properties:
Uncorrected energy: -3.12 eV per atom
Mass density: 6.8 Mg/m³

---

8.
Computed, not measured: Ta2NbAs after structural relaxation at the PBE level of DFT.

Unit cell a=4.6188 b=4.6188 c=4.6188 alpha=60.00 beta=60.00 gamma=60.00
Last column: nearest neighbours and their distance in Å.
Positions (direct):
As 0.5000 0.5000 0.5000  4 Ta 2.83, 4 Nb 2.83
Nb 0.2500 0.2500 0.2500  4 As 2.83, 4 Ta 2.83
Ta 0.0000 0.0000 0.0000  4 Ta 2.83, 4 Nb 2.83
Ta 0.7500 0.7500 0.7500  4 As 2.83, 4 Ta 2.83

Computed properties:
Magnetization: 0.002 μB per cell
Uncorrected energy: -9.51 eV per atom
Mass density: 12.6 Mg/m³

---

9.
Computed, not measured: DyErHg after structural relaxation at the PBE level of DFT.

Unit cell a=5.0664 b=5.0664 c=5.0664 alpha=60.00 beta=60.00 gamma=60.00
Last column: nearest neighbours and their distance in Å.
Positions (direct):
Dy 0.2500 0.2500 0.2500  4 Hg 3.10
Er 0.7500 0.7500 0.7500  4 Hg 3.10
Hg 0.0000 0.0000 0.0000  4 Dy 3.10, 4 Er 3.10

Computed properties:
Magnetization: 0.002 μB per cell
Uncorrected energy: -3.27 eV per atom
Mass density: 9.6 Mg/m³
Polymorph energy (0 for the lowest one): 247 meV/atom
E_form: -0.118 eV/atom

---

10.
Computed, not measured: TmInCuTe3 after structural relaxation at the PBE level of DFT.

Unit cell a=7.7120 b=7.7120 c=11.1769 alpha=90.00 beta=90.00 gamma=148.97
Last column: nearest neighbours and their distance in Å.
Positions (direct):
Cu 0.5314 0.4686 0.2500  4 Te 2.64-2.65
Cu 0.4686 0.5314 0.7500  4 Te 2.64-2.65
In 0.2451 0.7549 0.2500  6 Te 3.30-3.31
In 0.7549 0.2451 0.7500  6 Te 3.30-3.31
Te 0.6414 0.3586 0.0647  1 Cu 2.64
Te 0.9189 0.0811 0.2500  2 Cu 2.65
Te 0.6414 0.3586 0.4353  1 Cu 2.64
Te 0.3586 0.6414 0.5647  1 Cu 2.64
Te 0.0811 0.9189 0.7500  2 Cu 2.65
Te 0.3586 0.6414 0.9353  1 Cu 2.64
Tm 0.0000 0.0000 0.0000  6 Te 3.03-3.04
Tm 0.0000 0.0000 0.5000  6 Te 3.03-3.04

Computed properties:
Magnetization: 0.003 μB per cell
Uncorrected energy: -4.04 eV per atom
Mass density: 7.1 Mg/m³

---

11.
Computed, not measured: TlAgSnSe3 after structural relaxation at the PBE level of DFT.

Unit cell a=7.1489 b=7.1489 c=11.2250 alpha=90.00 beta=90.00 gamma=32.16
Last column: nearest neighbours and their distance in Å.
Positions (direct):
Ag 0.1095 0.1095 0.2500  4 Se 2.59-2.84
Ag 0.8905 0.8905 0.7500  4 Se 2.59-2.84
Se 0.1411 0.1411 0.0228  1 Ag 2.59, 2 Sn 2.78
Se 0.4618 0.4618 0.2500  2 Ag 2.84, 2 Sn 2.85-2.86, 2 Tl 3.10
Se 0.1411 0.1411 0.4772  1 Ag 2.59, 2 Sn 2.78
Se 0.8589 0.8589 0.5228  1 Ag 2.59, 2 Sn 2.78
Se 0.5382 0.5382 0.7500  2 Ag 2.84, 2 Sn 2.85-2.86, 2 Tl 3.10
Se 0.8589 0.8589 0.9772  1 Ag 2.59, 2 Sn 2.78
Sn 0.5000 0.5000 0.0000  6 Se 2.78-2.86
Sn 0.5000 0.5000 0.5000  6 Se 2.78-2.86
Tl 0.7877 0.7877 0.2500  4 Se 3.10-3.21, 2 Ag 3.15
Tl 0.2123 0.2123 0.7500  4 Se 3.10-3.21, 2 Ag 3.15

Computed properties:
Uncorrected energy: -3.55 eV per atom
Mass density: 7.3 Mg/m³
Polymorph energy (0 for the lowest one): 18 meV/atom

---

12.
Computed, not measured: HoCo2P after structural relaxation at the PBE level of DFT.

Unit cell a=3.8221 b=8.3885 c=4.0293 alpha=90.00 beta=90.00 gamma=90.00
Last column: nearest neighbours and their distance in Å.
Positions (direct):
Co 0.0000 0.5583 0.3640  2 P 2.17, 2 Co 2.24
Co 0.5000 0.9338 0.3861  1 P 2.13, 2 Co 2.30
Co 0.0000 0.4417 0.8640  2 P 2.17, 2 Co 2.24
Co 0.5000 0.0662 0.8861  1 P 2.13, 2 Co 2.30
Ho 0.0000 0.1875 0.3748  9 Co 2.86-3.11, 4 P 2.99
Ho 0.0000 0.8125 0.8748  9 Co 2.86-3.11, 4 P 2.99
P 0.5000 0.6798 0.3751  3 Co 2.13-2.17
P 0.5000 0.3202 0.8751  3 Co 2.13-2.17

Computed properties:
Magnetization: 1.405 μB per cell
Uncorrected energy: -6.48 eV per atom
Mass density: 8.1 Mg/m³